No. 1
Material: CsKGe
Method: DFT, PBE
State: relaxed

```
CsKGe
1.0
-3.6517 -1.0126 -5.2185
-3.2132 -4.6242 3.1446
-1.9599 8.3523 3.7036
Ge K Cs
2 2 2
Direct
0.5930 0.8466 0.0378 Ge
0.4470 0.7000 0.7431 Ge
0.5205 0.2732 0.8903 K
0.0201 0.7727 0.8904 K
0.8165 0.0689 0.4836 Cs
0.2246 0.4761 0.2971 Cs
```

M_tot	0.000	μB per cell
DOS(E_F)	2.8	states/eV/f.u.
ΔH_f (0 K)	2	kJ per mole of atoms

No. 2
Material: CsKGe3
Method: DFT, PBE
State: relaxed

```
CsKGe3
1.0
-0.2393 -5.9292 -0.7847
5.5889 0.0580 -2.1423
2.1296 -0.8183 5.5338
Ge K Cs
3 1 1
Direct
0.5000 0.0000 0.0000 Ge
0.0000 0.0000 0.5000 Ge
0.0000 0.5000 0.0000 Ge
0.5000 0.5000 0.5000 K
0.0000 0.0000 0.0000 Cs
```

M_tot	0.000	μB per cell
DOS(E_F)	4.3	states/eV/f.u.
ΔH_f (0 K)	128	kJ per mole of atoms

No. 3
Material: CsKLi2Ge
Method: DFT, PBE
State: relaxed

```
CsKLi2Ge
1.0
5.3828 0.0000 0.0000
0.0000 5.3828 0.0000
0.0000 0.0000 6.3796
Li Cs K Ge
2 1 1 1
Direct
0.0000 0.5000 0.0000 Li
0.5000 0.0000 0.0000 Li
0.5000 0.5000 0.5000 Cs
0.0000 0.0000 0.5000 K
0.0000 0.0000 0.0000 Ge
```

M_tot	0.000	μB per cell
DOS(E_F)	0.6	states/eV/f.u.
ΔH_f (0 K)	-1	kJ per mole of atoms

No. 4
Material: CsKNa2Ge
Method: DFT, PBE
State: relaxed

```
CsKNa2Ge
1.0
-5.1581 -1.3200 2.7074
2.8924 -3.6686 3.7221
0.9217 4.9634 4.1758
Na K Cs Ge
2 1 1 1
Direct
0.0000 0.5000 0.0000 Na
0.5000 0.0000 0.0000 Na
0.0000 0.0000 0.5000 K
0.5000 0.5000 0.5000 Cs
0.0000 0.0000 0.0000 Ge
```

M_tot	0.000	μB per cell
DOS(E_F)	2.3	states/eV/f.u.
ΔH_f (0 K)	3	kJ per mole of atoms